First-principles (GGA-PBE) data for crystalline BaNbPdAu at its relaxed geometry, as listed in OQMD via LeMat-Bulk.

Symmetry: F-43m, No. 216
E above lowest polymorph, meV per atom: 131

abc: 4.945 4.945 4.945
angles: 60.00 60.00 60.00
Atoms (fractional coordinates):
1 Au 0.750 0.750 0.750
2 Ba 0.500 0.500 0.500
3 Nb 0.250 0.250 0.250
4 Pd 0.000 0.000 0.000



First-principles (GGA-PBE) data for crystalline Ba2NbAuS6 at its relaxed geometry, as listed in OQMD via LeMat-Bulk.

Symmetry: Fm-3m, No. 225

abc: 7.005 7.005 7.005
angles: 120.00 120.00 60.00
Atoms (fractional coordinates):
1 Au 0.500 0.500 0.500
2 Ba 0.750 0.750 0.250
3 Ba 0.250 0.250 0.750
4 Nb 0.000 0.000 0.000
5 S 0.754 0.246 0.246
6 S 0.246 0.754 0.246
7 S 0.246 0.246 0.246
8 S 0.754 0.754 0.754
9 S 0.754 0.246 0.754
10 S 0.246 0.754 0.754



First-principles (GGA-PBE) data for crystalline BaNdAu2 at its relaxed geometry, as listed in OQMD via LeMat-Bulk.

Symmetry: Pmc2_1, No. 26

abc: 4.966 6.132 7.690
angles: 90.00 90.00 90.00
Atoms (fractional coordinates):
1 Au 0.500 0.381 0.038
2 Au 0.000 0.913 0.458
3 Au 0.500 0.619 0.538
4 Au 0.000 0.087 0.958
5 Ba 0.000 0.399 0.316
6 Ba 0.000 0.601 0.816
7 Nd 0.500 0.898 0.188
8 Nd 0.500 0.102 0.688



First-principles (GGA-PBE) data for crystalline BaNdAu at its relaxed geometry, as listed in OQMD via LeMat-Bulk.

Symmetry: F-43m, No. 216
E above lowest polymorph, meV per atom: 0

abc: 5.384 5.384 5.384
angles: 60.00 60.00 60.00
Atoms (fractional coordinates):
1 Au 0.000 0.000 0.000
2 Ba 0.250 0.250 0.250
3 Nd 0.750 0.750 0.750



First-principles (GGA-PBE) data for crystalline BaNd3Au4 at its relaxed geometry, as listed in OQMD via LeMat-Bulk.

Symmetry: Pm, No. 6

abc: 5.962 4.883 7.608
angles: 90.00 92.73 90.00
Atoms (fractional coordinates):
1 Au 0.137 0.500 0.063
2 Au 0.665 0.000 0.451
3 Au 0.348 0.500 0.516
4 Au 0.853 0.000 0.970
5 Ba 0.353 0.000 0.813
6 Nd 0.645 0.500 0.191
7 Nd 0.142 0.000 0.318
8 Nd 0.857 0.500 0.679



First-principles (GGA-PBE) data for crystalline BaNdAu2 at its relaxed geometry, as listed in OQMD via LeMat-Bulk.

Symmetry: Pmn2_1, No. 31

abc: 4.958 7.889 6.036
angles: 90.00 90.00 90.00
Atoms (fractional coordinates):
1 Au 0.500 0.675 0.154
2 Au 0.500 0.249 0.347
3 Au 0.000 0.325 0.654
4 Au 0.000 0.751 0.847
5 Ba 0.000 0.936 0.352
6 Ba 0.500 0.064 0.852
7 Nd 0.000 0.439 0.147
8 Nd 0.500 0.561 0.647



| no. | total DFT energy (no corrections) (eV/atom) |
| --- | --- |
| 1 | -4.68 |
| 2 | -5.17 |
| 3 | -3.98 |
| 4 | -3.56 |
| 5 | -4.40 |
| 6 | -4.04 |